DFT (PBE) results for a relaxed structure of SmMgSnPt.

Its formation enthalpy at 0 K is -0.667 eV per atom. The value obtained for the total energy is -0.3496 Ry per atom.

Lattice parameters (Å, degrees): 5.008 5.008 5.008 60.00 60.00 60.00
Sites, in units of the cell vectors:
1 Sm 0.000 0.000 0.000
2 Mg 0.500 0.500 0.500
3 Sn 0.250 0.250 0.250
4 Pt 0.750 0.750 0.750